[1]
A geometry-optimized Tl5Sn2 structure. Source: Alexandria, functional PBE-GGA.

Output
Magnetic moment = 0.000 μB per formula unit
Calculated volume = 209.7 Å³/f.u.
ΔE_f = 0.1 eV/f.u.
N(E_F) = 2.63 states/eV per cell

abc: 3.476 3.476 17.526
angles: 95.69 95.69 90.00
Positions (direct):
1 Tl 0.148 0.148 0.295
2 Tl 0.000 0.000 0.000
3 Tl 0.427 0.427 0.853
4 Sn 0.282 0.282 0.564
5 Tl 0.573 0.573 0.147
6 Tl 0.852 0.852 0.705
7 Sn 0.718 0.718 0.436

=====

[2]
A geometry-optimized Tl7Sn3 structure. Source: Alexandria, functional PBE-GGA.

Output
Magnetic moment = 0.000 μB per formula unit
Calculated volume = 302.5 Å³/f.u.
ΔE_f = 0.3 eV/f.u.
N(E_F) = 9.54 states/eV per cell

abc: 6.787 9.499 11.838
angles: 116.70 82.18 117.04
Positions (direct):
1 Tl 0.415 0.452 0.990
2 Tl 0.280 0.839 0.185
3 Tl 0.671 0.250 0.401
4 Sn 0.696 0.986 0.524
5 Tl 0.955 0.760 0.926
6 Tl 0.180 0.954 0.502
7 Sn 0.808 0.569 0.286
8 Tl 0.886 0.155 0.118
9 Sn 0.473 0.049 0.795
10 Tl 0.292 0.564 0.315
11 Tl 0.404 0.180 0.108
12 Sn 0.639 0.343 0.707
13 Tl 0.152 0.356 0.692
14 Tl 0.475 0.773 0.891
15 Tl 0.971 0.030 0.796
16 Tl 0.598 0.629 0.570
17 Sn 0.768 0.840 0.222
18 Sn 0.149 0.206 0.379
19 Tl 0.099 0.646 0.612
20 Tl 0.906 0.420 0.981

=====

[3]
A geometry-optimized Tl4Sn structure. Source: Alexandria, functional PBE-GGA.

Output
Magnetic moment = 0.000 μB per formula unit
Calculated volume = 149.8 Å³/f.u.
ΔE_f = 0.1 eV/f.u.
Offset from the most stable computed form = 0 kJ/mol of formula units
N(E_F) = 2.46 states/eV per cell

abc: 14.639 14.639 14.639
angles: 13.55 13.55 13.55
Positions (direct):
1 Sn 0.000 0.000 0.000
2 Tl 0.200 0.200 0.200
3 Tl 0.800 0.800 0.800
4 Tl 0.400 0.400 0.400
5 Tl 0.600 0.600 0.600